Version a
A relaxed ZrRuS2 crystal. Source: Alexandria, functional PBE-GGA.

The space group is No. 166. As for the total magnetization: 0.022 μB/f.u.

a b c (Å): 8.231 8.231 8.231
angles (deg): 23.18 23.18 23.18
Site moments in Bohr magnetons follow the coordinates.
Element x y z (fractional)
Ru  0.500  0.500  0.500  0.28
S  0.894  0.894  0.894  0.01
S  0.106  0.106  0.106  0.01
Zr  0.000  0.000  0.000  -0.16

Version b
A relaxed ZrRuS2 crystal. Source: Alexandria, functional PBE-GGA.

The space group is No. 225. As for the total magnetization: 0.000 μB/f.u.

a b c (Å): 4.422 4.422 4.422
angles (deg): 60.00 60.00 60.00
Element x y z (fractional)
S  0.250  0.250  0.250
S  0.750  0.750  0.750
Zr  0.000  0.000  0.000
Ru  0.500  0.500  0.500

Quick one: most stable of them? version b

Version a
A relaxed ZrRuS2 crystal. Source: Alexandria, functional PBE-GGA.

The space group is No. 122. As for the total magnetization: 0.000 μB/f.u.

a b c (Å): 5.475 5.475 6.735
angles (deg): 66.02 66.02 90.00
Element x y z (fractional)
S  0.094  0.625  0.250
Ru  0.000  0.000  0.000
Zr  0.250  0.750  0.500
S  0.875  0.906  0.750
S  0.656  0.125  0.250
S  0.375  0.344  0.750
Zr  0.500  0.500  0.000
Ru  0.750  0.250  0.500

Version b
A relaxed ZrRuS2 crystal. Source: Alexandria, functional PBE-GGA.

The space group is No. 166. As for the total magnetization: 0.000 μB/f.u.

a b c (Å): 8.128 8.128 8.128
angles (deg): 23.72 23.72 23.72
Element x y z (fractional)
Zr  0.500  0.500  0.500
S  0.905  0.905  0.905
S  0.095  0.095  0.095
Ru  0.000  0.000  0.000

Quick one: most stable of them? version a

Version a
A relaxed ZrRu3S crystal. Source: Alexandria, functional PBE-GGA.

The space group is No. 221. As for the total magnetization: 0.000 μB/f.u.

a b c (Å): 4.358 4.358 4.358
angles (deg): 90.00 90.00 90.00
Element x y z (fractional)
Ru  0.500  0.000  0.000
Ru  0.000  0.000  0.500
Ru  0.000  0.500  0.000
Zr  0.500  0.500  0.500
S  0.000  0.000  0.000

Version b
A relaxed ZrRu3S crystal. Source: Alexandria, functional PBE-GGA.

The space group is No. 221. As for the total magnetization: 4.446 μB/f.u.

a b c (Å): 4.846 4.846 4.846
angles (deg): 90.00 90.00 90.00
Site moments in Bohr magnetons follow the coordinates.
Element x y z (fractional)
Ru  0.500  0.000  0.000  1.42
Ru  0.000  0.000  0.500  1.37
Ru  0.000  0.500  0.000  1.65
Zr  0.000  0.000  0.000  -0.28
S  0.500  0.500  0.500  0.13

Quick one: most stable of them? version a